This record from Alexandria via LeMat-Bulk describes a relaxed structure of MgBPd3. The functional is PBE-GGA.

Structure (extended XYZ):
```
10
Lattice="2.699 -5.324 0.000 2.699 5.324 0.000 0.000 0.000 5.208" Properties=species:S:1:pos:R:3 pbc="T T T"
Mg 2.699 4.459 3.906
Mg 2.699 -4.459 1.302
B 2.699 1.715 1.302
B 2.699 -1.715 3.906
Pd 1.347 2.055 3.906
Pd 1.347 -2.055 1.302
Pd 2.699 0.000 0.000
Pd 2.699 0.000 2.604
Pd 4.051 2.055 3.906
Pd 4.051 -2.055 1.302
```

Properties
The value obtained for the total energy is -5.006 eV per atom. The symmetry is No. 63. The value obtained for the formation energy is -236 meV per atom.